An optimized crystal structure of LiZrAl2. Source: the Alexandria database, functional PBE.

a = 8.790 Å, b = 2.830 Å, c = 5.924 Å
α = 90.00°, β = 96.07°, γ = 90.00°
Space group C2/m (No. 12)
Symmetry-distinct sites (fractional):
Li  0.000  0.000  0.000 x2
Zr  0.000  0.500  0.500 x2
Al  0.248  0.500  0.214 x4

Computed properties:
- ΔH_f (0 K): -0.08 eV/atom
- Total magnetic moment: 0.0 μB per formula unit
- Final energy: -4.57 eV/atom